Record 1
La3In2Hg4 | GGA-PBE | relaxed

a b c (Å): 6.291 6.291 9.549
angles (deg): 114.03 114.03 47.12
Fractional positions:
Hg 0.084 0.084 0.918
Hg 0.695 0.695 0.527
Hg 0.305 0.305 0.473
Hg 0.916 0.916 0.082
La 0.000 0.000 0.500
La 0.664 0.664 0.172
La 0.336 0.336 0.828
In 0.612 0.612 0.778
In 0.388 0.388 0.222

Output
- space-group type = No. 12

***

Record 2
LaInHg | GGA-PBE | relaxed

a b c (Å): 6.700 5.327 9.375
angles (deg): 90.00 90.00 90.00
Fractional positions:
La 0.273 0.750 0.918
La 0.227 0.250 0.418
La 0.727 0.250 0.082
La 0.773 0.750 0.582
Hg 0.783 0.750 0.914
Hg 0.717 0.250 0.414
Hg 0.283 0.750 0.586
Hg 0.217 0.250 0.086
In 0.008 0.250 0.760
In 0.492 0.750 0.260
In 0.992 0.750 0.240
In 0.508 0.250 0.740

Output
- space-group type = No. 62

***

Record 3
LaInHgO3 | GGA-PBE | relaxed

a b c (Å): 3.689 7.538 8.364
angles (deg): 90.00 90.00 75.84
Fractional positions:
O 0.394 0.211 0.519
O 0.606 0.789 0.019
O 0.394 0.211 0.981
O 0.076 0.849 0.750
O 0.606 0.789 0.481
O 0.924 0.151 0.250
La 0.000 0.000 0.000
La 0.000 0.000 0.500
In 0.342 0.315 0.250
In 0.658 0.685 0.750
Hg 0.308 0.383 0.750
Hg 0.692 0.617 0.250

Output
- space-group type = No. 63

***

Record 4
LaInHgS3 | GGA-PBE | relaxed

a b c (Å): 7.257 7.257 11.158
angles (deg): 90.00 90.00 34.42
Fractional positions:
In 0.738 0.738 0.250
In 0.262 0.262 0.750
S 0.634 0.634 0.554
S 0.074 0.074 0.250
S 0.634 0.634 0.946
S 0.366 0.366 0.446
S 0.366 0.366 0.054
S 0.926 0.926 0.750
La 0.000 0.000 0.000
La 0.000 0.000 0.500
Hg 0.547 0.547 0.750
Hg 0.453 0.453 0.250

Output
- space-group type = No. 63

***

Record 5
Li8In2Hg | GGA-PBE | relaxed

a b c (Å): 4.600 4.600 10.665
angles (deg): 102.64 102.64 59.92
Fractional positions:
Li 0.176 0.176 0.528
Li 0.824 0.824 0.472
Li 0.361 0.361 0.083
Li 0.088 0.088 0.265
Li 0.268 0.268 0.802
Li 0.912 0.912 0.735
Li 0.639 0.639 0.917
Li 0.732 0.732 0.198
In 0.548 0.548 0.643
In 0.452 0.452 0.357
Hg 0.000 0.000 0.000

Output
- space-group type = No. 12

***

Record 6
Li3InHg2 | GGA-PBE | relaxed

a b c (Å): 3.292 3.292 10.175
angles (deg): 90.00 90.00 90.00
Fractional positions:
In 0.500 0.500 0.500
Li 0.000 0.000 0.322
Li 0.000 0.000 0.000
Li 0.000 0.000 0.678
Hg 0.500 0.500 0.164
Hg 0.500 0.500 0.836

Output
- space-group type = No. 123

***

In order of appearance, uncorrected energy = -2.899 -3.183 -5.583 -4.345 -2.183 -1.854 eV/atom.